1.
The following is a PBE calculation of a geometry-optimized ZrRh structure, from the Alexandria database.

Cell and atoms, written as CIF:
```
data_ZrRh
_cell_length_a 4.5222
_cell_length_b 4.5222
_cell_length_c 5.3534
_cell_angle_alpha 90.00
_cell_angle_beta 90.00
_cell_angle_gamma 120.00
_space_group_name_H-M_alt 'P 63/m m c'
_space_group_IT_number 194
_space_group_name_Hall '-P 6c 2c'
loop_
_atom_site_label
_atom_site_type_symbol
_atom_site_fract_x
_atom_site_fract_y
_atom_site_fract_z
Zr1 Zr 0.3333 0.6667 0.2500
Rh1 Rh 0.3333 0.6667 0.7500
```

Properties
The value obtained for the density of states at the Fermi level is 1.06 states/eV/f.u. The energy of formation is -0.160 eV per atom. For the total magnetic moment, the calculation gives 0.00 μB/f.u.

=====

2.
The following is a PBE calculation of a geometry-optimized PrClF structure, from the Alexandria database.

Cell and atoms, written as CIF:
```
data_PrClF
_cell_length_a 3.8359
_cell_length_b 3.8359
_cell_length_c 5.5386
_cell_angle_alpha 90.00
_cell_angle_beta 90.00
_cell_angle_gamma 120.00
_space_group_name_H-M_alt 'P 3 m 1'
_space_group_IT_number 156
loop_
_space_group_symop_operation_xyz
'x,y,z'
'-y,x-y,z'
'-x+y,-x,z'
'-y,-x,z'
'-x+y,y,z'
'x,x-y,z'
loop_
_atom_site_label
_atom_site_type_symbol
_atom_site_fract_x
_atom_site_fract_y
_atom_site_fract_z
Pr1 Pr 0.0000 0.0000 0.0000
Cl1 Cl 0.3333 0.6667 0.6621
F1 F 0.6667 0.3333 0.1928
```

Properties
The value obtained for the density of states at the Fermi level is 1.43 states/eV/f.u. For the total magnetic moment, the calculation gives 0.79 μB/f.u. The offset from the most stable computed form comes out at 0.088 eV per atom.

=====

3.
The following is a PBE calculation of a geometry-optimized Tb2Dy12Er5 structure, from the Alexandria database.

Cell and atoms, written as CIF:
```
data_Tb2Dy12Er5
_cell_length_a 6.110
_cell_length_b 9.337
_cell_length_c 11.138
_cell_angle_alpha 90.01
_cell_angle_beta 100.59
_cell_angle_gamma 109.10
_space_group_name_H-M_alt 'P -1'
_space_group_IT_number 2
loop_
_space_group_symop_operation_xyz
'x,y,z'
'-x,-y,-z'
loop_
_atom_site_label
_atom_site_type_symbol
_atom_site_fract_x
_atom_site_fract_y
_atom_site_fract_z
Tb1 Tb 0.210 0.474 0.421
Dy1 Dy 0.053 0.368 0.105
Dy2 Dy 0.105 0.737 0.210
Dy3 Dy 0.158 0.105 0.316
Dy4 Dy 0.316 0.210 0.632
Dy5 Dy 0.369 0.579 0.737
Dy6 Dy 0.421 0.947 0.842
Er1 Er 0.000 0.000 0.000
Er2 Er 0.264 0.843 0.526
Er3 Er 0.474 0.316 0.947
```

Properties
The value obtained for the density of states at the Fermi level is 25.75 states/eV/f.u. The energy of formation is 0.019 eV per atom. For the total magnetic moment, the calculation gives 0.00 μB/f.u. The offset from the most stable computed form comes out at 0.000 eV per atom.

=====

4.
The following is a PBE calculation of a geometry-optimized Ca5Si2As2 structure, from the Alexandria database.

Cell and atoms, written as CIF:
```
data_Ca5Si2As2
_cell_length_a 15.381
_cell_length_b 7.802
_cell_length_c 7.792
_cell_angle_alpha 90.00
_cell_angle_beta 90.00
_cell_angle_gamma 90.00
_space_group_name_H-M_alt 'C m c e'
_space_group_IT_number 64
_space_group_name_Hall '-C 2ac 2'
loop_
_atom_site_label
_atom_site_type_symbol
_atom_site_fract_x
_atom_site_fract_y
_atom_site_fract_z
Ca1 Ca 0.000 0.000 0.000
Ca2 Ca 0.145 0.174 0.331
Si1 Si 0.000 0.105 0.606
As1 As 0.197 0.000 0.000
```

Properties
The value obtained for the density of states at the Fermi level is 5.91 states/eV/f.u. For the total magnetic moment, the calculation gives 1.48 μB/f.u. The calculation puts the uncorrected energy at -4.157 eV/atom.

=====

5.
The following is a PBE calculation of a geometry-optimized ZrInW2 structure, from the Alexandria database.

Cell and atoms, written as CIF:
```
data_ZrInW2
_cell_length_a 4.028
_cell_length_b 4.028
_cell_length_c 9.234
_cell_angle_alpha 90.00
_cell_angle_beta 90.00
_cell_angle_gamma 90.00
_space_group_name_H-M_alt 'I 4/m m m'
_space_group_IT_number 139
_space_group_name_Hall '-I 4 2'
loop_
_atom_site_label
_atom_site_type_symbol
_atom_site_fract_x
_atom_site_fract_y
_atom_site_fract_z
Zr1 Zr 0.000 0.000 0.000
In1 In 0.000 0.000 0.500
W1 W 0.000 0.500 0.250
```

Properties
The value obtained for the density of states at the Fermi level is 3.46 states/eV/f.u. The energy of formation is 0.369 eV per atom. For the total magnetic moment, the calculation gives 0.00 μB/f.u.

=====

6.
The following is a PBE calculation of a geometry-optimized RbTaTl2Br8 structure, from the Alexandria database.

Cell and atoms, written as CIF:
```
data_RbTaTl2Br8
_cell_length_a 6.647
_cell_length_b 8.249
_cell_length_c 9.776
_cell_angle_alpha 89.93
_cell_angle_beta 89.98
_cell_angle_gamma 68.90
_space_group_name_H-M_alt 'P -1'
_space_group_IT_number 2
loop_
_space_group_symop_operation_xyz
'x,y,z'
'-x,-y,-z'
loop_
_atom_site_label
_atom_site_type_symbol
_atom_site_fract_x
_atom_site_fract_y
_atom_site_fract_z
Rb1 Rb 0.000 0.000 0.000
Ta1 Ta 0.000 0.000 0.500
Tl1 Tl 0.001 0.500 0.231
Br1 Br 0.230 0.185 0.501
Br2 Br 0.240 0.804 0.684
Br3 Br 0.241 0.805 0.317
Br4 Br 0.277 0.280 0.999
```

Properties
For the total magnetic moment, the calculation gives 0.00 μB/f.u. The calculation puts the uncorrected energy at -3.599 eV/atom.

=====

Q: Which value of total magnetic moment does entry 3 give?
A: 0.00 μB/f.u.

=====

Q: total magnetic moment of number 2 (PrClF)?
A: 0.79 μB/f.u.